## 1
Computed, not measured: an optimized crystal structure of CsSiSe2Br at the GGA-PBE level of DFT.

Output
Total magnetic moment: 0.000 μB/atom

Cell lengths 4.961, 4.961, 5.876 Å; angles 90.00, 90.00, 90.00 degrees
Space group P4/mmm (No. 123)
One atom of each set of equivalent atoms:
Cs: 0.000 0.000 0.000 [1 per cell]
Si: 0.500 0.500 0.500 [1 per cell]
Se: 0.000 0.500 0.500 [2 per cell]
Br: 0.500 0.500 0.000 [1 per cell]



## 2
Computed, not measured: an optimized crystal structure of CsSiSe2Br at the GGA-PBE level of DFT.

Output
Total magnetic moment: 0.000 μB/atom

Cell lengths 5.705, 5.705, 6.340 Å; angles 90.00, 90.00, 90.00 degrees
Space group P4/mmm (No. 123)
One atom of each set of equivalent atoms:
Cs: 0.000 0.000 0.000 [1 per cell]
Si: 0.500 0.500 0.500 [1 per cell]
Se: 0.000 0.500 0.000 [2 per cell]
Br: 0.000 0.000 0.500 [1 per cell]



Which of them is least stable? Easy: 2.



## 1
Computed, not measured: an optimized crystal structure of CsSrSe2Br at the GGA-PBE level of DFT.

Output
Total magnetic moment: 0.405 μB/atom

Cell lengths 6.022, 6.022, 6.073 Å; angles 90.00, 90.00, 90.00 degrees
Space group P4/mmm (No. 123)
One atom of each set of equivalent atoms:
Cs: 0.000 0.000 0.000 [1 per cell]
Sr: 0.500 0.500 0.500 [1 per cell]
Se: 0.000 0.500 0.500 [2 per cell]
Br: 0.500 0.500 0.000 [1 per cell]



## 2
Computed, not measured: an optimized crystal structure of CsSrSe2Br at the GGA-PBE level of DFT.

Output
Total magnetic moment: 0.000 μB/atom

Cell lengths 5.745, 5.745, 6.257 Å; angles 90.00, 90.00, 90.00 degrees
Space group P4/mmm (No. 123)
One atom of each set of equivalent atoms:
Cs: 0.000 0.000 0.000 [1 per cell]
Sr: 0.500 0.500 0.500 [1 per cell]
Se: 0.000 0.500 0.000 [2 per cell]
Br: 0.000 0.000 0.500 [1 per cell]



Which of them is least stable? Easy: 2.



## 1
Computed, not measured: an optimized crystal structure of CsTcSe2Br at the GGA-PBE level of DFT.

Output
Total magnetic moment: 1.011 μB/atom

Cell lengths 5.684, 5.684, 6.326 Å; angles 90.00, 90.00, 90.00 degrees
Space group P4/mmm (No. 123)
One atom of each set of equivalent atoms:
Cs: 0.000 0.000 0.000 [1 per cell]
Tc: 0.500 0.500 0.500 [1 per cell]
Se: 0.000 0.500 0.000 [2 per cell]
Br: 0.000 0.000 0.500 [1 per cell]



## 2
Computed, not measured: an optimized crystal structure of CsTcSe2Br at the GGA-PBE level of DFT.

Output
Total magnetic moment: 0.000 μB/atom

Cell lengths 4.922, 4.922, 5.754 Å; angles 90.00, 90.00, 90.00 degrees
Space group P4/mmm (No. 123)
One atom of each set of equivalent atoms:
Cs: 0.000 0.000 0.000 [1 per cell]
Tc: 0.500 0.500 0.500 [1 per cell]
Se: 0.000 0.500 0.500 [2 per cell]
Br: 0.500 0.500 0.000 [1 per cell]



Which of them is least stable? Easy: 1.



## 1
Computed, not measured: an optimized crystal structure of CsTeSeBr2 at the GGA-PBE level of DFT.

Output
Total magnetic moment: 0.000 μB/atom

Cell lengths 5.828, 5.828, 5.501 Å; angles 90.00, 90.00, 90.00 degrees
Space group P4/mmm (No. 123)
One atom of each set of equivalent atoms:
Cs: 0.000 0.000 0.000 [1 per cell]
Te: 0.500 0.500 0.500 [1 per cell]
Se: 0.500 0.500 0.000 [1 per cell]
Br: 0.000 0.500 0.500 [2 per cell]



## 2
Computed, not measured: an optimized crystal structure of CsTeSeBr2 at the GGA-PBE level of DFT.

Output
Total magnetic moment: 1.009 μB/atom

Cell lengths 6.764, 6.764, 6.691 Å; angles 90.00, 90.00, 90.00 degrees
Space group P4/mmm (No. 123)
One atom of each set of equivalent atoms:
Cs: 0.000 0.000 0.000 [1 per cell]
Te: 0.500 0.500 0.500 [1 per cell]
Se: 0.000 0.000 0.500 [1 per cell]
Br: 0.000 0.500 0.000 [2 per cell]



Which of them is least stable? Easy: 2.